[1]
HfBrF3, optimized geometry, DFT GGA-PBE; polymorph energy (0 for the lowest one) = 289 meV/atom; E_form (uncorrected) = -13.79 eV per formula unit
1.0
-3.975 -1.070 -0.832
1.353 -2.957 -2.658
0.091 -2.784 3.143
Hf F Br
1 3 1
Cartesian
0.000 0.000 0.000
0.046 -1.392 1.572
-1.987 -0.535 -0.416
0.676 -1.478 -1.329
-1.265 -3.406 -0.174

[2]
NdEr4Ge4, optimized geometry, DFT GGA-PBE; DFT formation energy = -55.61 kJ/mol of atoms
1.0
-3.943 2.448 3.384
-6.586 -2.058 -6.186
-1.424 -8.127 4.220
Ge Er Nd
8 8 2
Cartesian
-8.398 -0.447 -0.742
-1.787 -2.412 0.691
-7.055 -7.256 -1.943
-6.667 -5.359 4.829
-8.109 -3.031 -1.352
-4.677 -4.188 3.483
-6.932 -6.797 0.686
-4.189 -1.456 0.018
-8.693 -5.939 2.821
-9.237 -5.666 -0.695
-3.602 -1.521 2.872
-2.328 -4.968 1.976
-5.073 -7.028 2.953
-6.568 -4.667 -3.182
-5.995 -1.259 -2.295
-6.318 0.100 1.220
0.000 0.000 0.000
-5.977 -3.868 0.709

[3]
Th10Sn3Pb3, optimized geometry, DFT GGA-PBE; DFT formation energy = -36.12 kJ/mol of atoms
1.0
6.478 0.000 0.000
0.000 8.225 -4.749
0.000 0.000 9.497
Sn Pb Th
3 3 10
Cartesian
3.239 3.186 -1.840
3.239 5.039 2.909
3.239 0.000 3.679
0.000 5.028 -2.903
0.000 0.000 5.806
0.000 3.197 1.846
4.845 5.483 0.000
0.000 2.073 -1.197
3.239 6.153 -3.552
0.000 0.000 2.393
0.000 6.152 3.552
1.632 5.483 0.000
3.239 2.072 1.196
1.632 2.742 4.749
4.845 2.742 4.749
3.239 0.000 7.104

[4]
Ir2RhCl, optimized geometry, DFT GGA-PBE; polymorph energy (0 for the lowest one) = 578 meV/atom; E_form (uncorrected) = 3.79 eV per formula unit
1.0
3.686 0.000 0.000
0.000 3.686 0.000
1.843 1.843 9.606
Cl Ir Rh
2 4 2
Cartesian
1.843 1.843 0.000
1.843 3.686 4.803
2.765 2.700 7.205
4.608 4.673 7.205
2.829 0.922 2.402
0.857 2.765 2.402
3.686 1.843 4.803
0.000 0.000 0.000

Computed E_tot (eV per atom) in order:
-6.21, -5.19, -6.46, -5.78